Entry from OQMD: crystalline YLuCuTe3 at its relaxed geometry (PBE).

Summary:
**E_tot**: -29.94 eV/f.u.
**Total magnetic moment**: 0.0 μB/f.u.

Unit cell a=4.113 b=14.178 c=10.919 alpha=90.00 beta=90.00 gamma=90.00
Space group Cmcm (No. 63)
One atom of each set of equivalent atoms:
1 Y 0.000 0.227 0.250 x4
2 Lu 0.000 0.000 0.000 x4
3 Cu 0.000 0.471 0.750 x4
4 Te 0.000 0.096 0.750 x4
5 Te 0.000 0.353 0.563 x8

***

Entry from OQMD: crystalline PmGeB4 at its relaxed geometry (PBE).

Summary:
**E_tot**: -35.28 eV/f.u.
**Total magnetic moment**: 0.0 μB/f.u.
**Polymorph energy (0 for the lowest one)**: 148 meV per atom

Unit cell a=3.1753 b=3.1753 c=7.9009 alpha=90.00 beta=90.00 gamma=120.00
Space group P6/mmm (No. 191)
One atom of each set of equivalent atoms:
1 Pm 0.0000 0.0000 0.0000 x1
2 Ge 0.0000 0.0000 0.5000 x1
3 B 0.3333 0.6667 0.2660 x4

***

Entry from OQMD: crystalline CsRbFeHgSb2 at its relaxed geometry (PBE).

Summary:
**E_tot**: -19.13 eV/f.u.
**Total magnetic moment**: 3.5 μB/f.u.

Unit cell a=4.7380 b=4.7380 c=11.7916 alpha=90.00 beta=90.00 gamma=120.00
Space group P3m1 (No. 156)
One atom of each set of equivalent atoms:
1 Cs 0.0000 0.0000 0.0000 x1
2 Rb 0.0000 0.0000 0.4861 x1
3 Fe 0.3333 0.6667 0.2509 x1
4 Hg 0.6667 0.3333 0.7313 x1
5 Sb 0.3333 0.6667 0.7364 x1
6 Sb 0.6667 0.3333 0.2514 x1

***

Entry from OQMD: crystalline YAgF3 at its relaxed geometry (PBE).

Summary:
**E_tot**: -28.63 eV/f.u.
**Total magnetic moment**: 0.0 μB/f.u.
**Polymorph energy (0 for the lowest one)**: 18 meV per atom

Unit cell a=6.1540 b=6.1540 c=14.8886 alpha=90.00 beta=90.00 gamma=120.00
Space group R-3c (No. 167, hexagonal axes)
One atom of each set of equivalent atoms:
1 Y 0.0000 0.0000 0.0000 x6
2 Ag 0.0000 0.0000 0.2500 x6
3 F 0.0000 0.4615 0.2500 x18

***

Entry from OQMD: crystalline LiSmPbS3 at its relaxed geometry (PBE).

Summary:
**E_tot**: -30.65 eV/f.u.
**Total magnetic moment**: 0.0 μB/f.u.
**Polymorph energy (0 for the lowest one)**: 37 meV per atom

Unit cell a=4.042 b=12.935 c=10.582 alpha=90.00 beta=90.00 gamma=90.00
Space group Cmcm (No. 63)
One atom of each set of equivalent atoms:
1 Li 0.000 0.024 0.250 x4
2 Sm 0.000 0.500 0.000 x4
3 Pb 0.000 0.254 0.750 x4
4 S 0.000 0.136 0.073 x8
5 S 0.000 0.421 0.250 x4

***

Entry from OQMD: crystalline KErGeSe3 at its relaxed geometry (PBE).

Summary:
**E_tot**: -28.22 eV/f.u.
**Total magnetic moment**: 0.0 μB/f.u.
**Polymorph energy (0 for the lowest one)**: 0 meV per atom

Unit cell a=8.570 b=4.028 c=10.995 alpha=90.00 beta=108.82 gamma=90.00
Space group P2_1/m (No. 11)
One atom of each set of equivalent atoms:
1 K 0.228 0.250 0.273 x2
2 Er 0.364 0.750 0.844 x2
3 Ge 0.129 0.250 0.558 x2
4 Se 0.111 0.250 0.779 x2
5 Se 0.336 0.750 0.575 x2
6 Se 0.393 0.750 0.106 x2

***

Entry from OQMD: crystalline Li2Mg2Al2CuIr at its relaxed geometry (PBE).

Summary:
**E_tot**: -30.05 eV/f.u.
**Total magnetic moment**: 0.0 μB/f.u.

Unit cell a=4.379 b=4.379 c=6.168 alpha=90.00 beta=90.00 gamma=90.00
Space group P-4m2 (No. 115)
One atom of each set of equivalent atoms:
1 Li 0.000 0.000 0.000 x1
2 Li 0.500 0.500 0.500 x1
3 Mg 0.000 0.500 0.247 x2
4 Al 0.000 0.500 0.734 x2
5 Cu 0.500 0.500 0.000 x1
6 Ir 0.000 0.000 0.500 x1

***

Entry from OQMD: crystalline Pu8IrPt5 at its relaxed geometry (PBE).

Summary:
**E_tot**: -162.90 eV/f.u.
**Total magnetic moment**: 43.5 μB/f.u.
**Energy of formation**: -0.768 eV/atom

Unit cell a=8.660 b=8.660 c=8.709 alpha=90.00 beta=90.00 gamma=90.00
Space group I-4 (No. 82)
One atom of each set of equivalent atoms:
1 Pu 0.070 0.177 0.300 x8
2 Pu 0.072 0.315 0.947 x8
3 Ir 0.000 0.000 0.000 x2
4 Pt 0.000 0.500 0.250 x2
5 Pt 0.122 0.252 0.623 x8

***

Entry from OQMD: crystalline TbYPd2 at its relaxed geometry (PBE).

Summary:
**E_tot**: -25.08 eV/f.u.
**Total magnetic moment**: 0.0 μB/f.u.
**Energy of formation**: -0.910 eV/atom

Unit cell a=4.488 b=6.921 c=5.713 alpha=90.00 beta=90.00 gamma=90.00
Space group Pmn2_1 (No. 31)
One atom of each set of equivalent atoms:
1 Tb 0.000 0.069 0.000 x2
2 Y 0.000 0.568 0.782 x2
3 Pd 0.000 0.206 0.487 x2
4 Pd 0.000 0.710 0.294 x2

***

Entry from OQMD: crystalline DyNbO4 at its relaxed geometry (PBE).

Summary:
**E_tot**: -53.13 eV/f.u.
**Total magnetic moment**: 0.0 μB/f.u.

Unit cell a=5.201 b=5.201 c=10.989 alpha=90.00 beta=90.00 gamma=90.00
Space group I4_1/a (No. 88, origin choice 2)
One atom of each set of equivalent atoms:
1 Dy 0.000 0.250 0.125 x4
2 Nb 0.000 0.250 0.625 x4
3 O 0.181 0.001 0.283 x16

***

Entry from OQMD: crystalline GdAg at its relaxed geometry (PBE).

Summary:
**E_tot**: -7.61 eV/f.u.
**Total magnetic moment**: 0.0 μB/f.u.
**Energy of formation**: -0.067 eV/atom

Unit cell a=6.024 b=6.024 c=6.024 alpha=90.00 beta=90.00 gamma=90.00
Space group Fm-3m (No. 225)
One atom of each set of equivalent atoms:
1 Gd 0.000 0.000 0.000 x4
2 Ag 0.000 0.000 0.500 x4

***

Entry from OQMD: crystalline NdGdZnIr2 at its relaxed geometry (PBE).

Summary:
**E_tot**: -31.90 eV/f.u.
**Total magnetic moment**: 0.0 μB/f.u.
**Energy of formation**: -0.701 eV/atom

Unit cell a=4.215 b=5.859 c=8.539 alpha=90.00 beta=90.00 gamma=90.00
Space group Imm2 (No. 44)
One atom of each set of equivalent atoms:
1 Nd 0.000 0.000 0.000 x2
2 Gd 0.000 0.000 0.596 x2
3 Zn 0.000 0.500 0.800 x2
4 Ir 0.000 0.267 0.298 x4

***

Entry from OQMD: crystalline YBeSbOs at its relaxed geometry (PBE).

Summary:
**E_tot**: -24.99 eV/f.u.
**Total magnetic moment**: 0.0 μB/f.u.
**Polymorph energy (0 for the lowest one)**: 73 meV per atom

Unit cell a=6.580 b=6.580 c=6.580 alpha=90.00 beta=90.00 gamma=90.00
Space group F-43m (No. 216)
One atom of each set of equivalent atoms:
1 Y 0.000 0.000 0.000 x4
2 Be 0.250 0.250 0.750 x4
3 Sb 0.000 0.000 0.500 x4
4 Os 0.250 0.250 0.250 x4

***

Entry from OQMD: crystalline CoTcGePd at its relaxed geometry (PBE).

Summary:
**E_tot**: -27.00 eV/f.u.
**Total magnetic moment**: 1.4 μB/f.u.
**Polymorph energy (0 for the lowest one)**: 0 meV per atom

Unit cell a=6.051 b=6.051 c=6.051 alpha=90.00 beta=90.00 gamma=90.00
Space group F-43m (No. 216)
One atom of each set of equivalent atoms:
1 Co 0.000 0.000 0.000 x4
2 Tc 0.000 0.000 0.500 x4
3 Ge 0.250 0.250 0.750 x4
4 Pd 0.250 0.250 0.250 x4

***

Entry from OQMD: crystalline DyBiPO at its relaxed geometry (PBE).

Summary:
**E_tot**: -23.11 eV/f.u.
**Total magnetic moment**: 0.0 μB/f.u.
**Polymorph energy (0 for the lowest one)**: 255 meV per atom

Unit cell a=5.505 b=5.505 c=5.381 alpha=90.00 beta=90.00 gamma=90.00
Space group P4/nmm (No. 129, origin choice 2)
One atom of each set of equivalent atoms:
1 Dy 0.250 0.750 0.000 x2
2 Bi 0.250 0.250 0.498 x2
3 P 0.250 0.250 0.996 x2
4 O 0.250 0.750 0.500 x2

***

Entry from OQMD: crystalline PuTaIr at its relaxed geometry (PBE).

Summary:
**E_tot**: -33.26 eV/f.u.
**Total magnetic moment**: 4.5 μB/f.u.
**Energy of formation**: 0.524 eV/atom

Unit cell a=6.258 b=6.258 c=6.258 alpha=90.00 beta=90.00 gamma=90.00
Space group F-43m (No. 216)
One atom of each set of equivalent atoms:
1 Pu 0.000 0.000 0.000 x4
2 Ta 0.250 0.250 0.250 x4
3 Ir 0.250 0.250 0.750 x4

***

Entry from OQMD: crystalline HoTlPO at its relaxed geometry (PBE).

Summary:
**E_tot**: -22.65 eV/f.u.
**Total magnetic moment**: 0.0 μB/f.u.
**Polymorph energy (0 for the lowest one)**: 0 meV per atom

Unit cell a=4.821 b=8.101 c=5.339 alpha=90.00 beta=90.00 gamma=90.00
Space group Pmc2_1 (No. 26)
One atom of each set of equivalent atoms:
1 Ho 0.000 0.141 0.000 x2
2 Tl 0.500 0.321 0.436 x2
3 P 0.500 0.306 0.932 x2
4 O 0.000 0.106 0.388 x2

***

Entry from OQMD: crystalline CsTbOs at its relaxed geometry (PBE).

Summary:
**E_tot**: -13.51 eV/f.u.
**Total magnetic moment**: 0.0 μB/f.u.
**Polymorph energy (0 for the lowest one)**: 0 meV per atom

Unit cell a=7.065 b=7.065 c=7.065 alpha=90.00 beta=90.00 gamma=90.00
Space group F-43m (No. 216)
One atom of each set of equivalent atoms:
1 Cs 0.000 0.000 0.000 x4
2 Tb 0.000 0.000 0.500 x4
3 Os 0.250 0.250 0.250 x4

***

Entry from OQMD: crystalline DyTm2Tl3 at its relaxed geometry (PBE).

Summary:
**E_tot**: -22.45 eV/f.u.
**Total magnetic moment**: 0.2 μB/f.u.

Unit cell a=3.611 b=3.611 c=12.173 alpha=90.00 beta=90.00 gamma=90.00
Space group P4/mmm (No. 123)
One atom of each set of equivalent atoms:
1 Dy 0.000 0.000 0.000 x1
2 Tm 0.000 0.000 0.335 x2
3 Tl 0.500 0.500 0.169 x2
4 Tl 0.500 0.500 0.500 x1

***

Entry from OQMD: crystalline K3SmF6 at its relaxed geometry (PBE).

Summary:
**E_tot**: -51.93 eV/f.u.
**Total magnetic moment**: 0.0 μB/f.u.

Unit cell a=6.142 b=6.493 c=10.452 alpha=90.00 beta=123.89 gamma=90.00
Space group P2_1/c (No. 14)
One atom of each set of equivalent atoms:
1 K 0.000 0.000 0.000 x2
2 K 0.220 0.066 0.745 x4
3 Sm 0.500 0.000 0.500 x2
4 F 0.148 0.178 0.442 x4
5 F 0.251 0.718 0.421 x4
6 F 0.404 0.069 0.265 x4